NiAsP2O: optimized geometry, GGA+U.

Lattice parameters (Å, degrees): 4.837 4.837 3.551 90.00 90.00 90.00
Fractional coordinates of all 5 atoms:
Ni  0.000  0.000  0.000
As  0.500  0.500  0.500
P  0.000  0.500  0.500
P  0.500  0.000  0.500
O  0.500  0.500  0.000

## Properties
Electronic total energy, eV per atom: -3.92
Space-group type: P4/mmm (123)
Spin magnetization, μB per cell: 1.0